1.
Entry from the Alexandria database: a relaxed Sr2CrSi crystal (PBE).

Results
spin magnetization: 4.8 μB/f.u.
energy: -4.30 eV/atom
calculated density: 3.58 g/cm3
energy relative to the elements, uncorrected: 307 meV per atom

The structure in POSCAR format:
```
Sr2CrSi
1.0
-3.2065 -0.1046 -2.5721
2.2575 -1.0960 -2.7697
-1.2678 -7.3616 1.8798
Si Sr Cr
1 2 1
Direct
0.5000 0.5000 0.7500 Si
0.0000 0.0000 0.5208 Sr
0.0000 0.0000 0.9792 Sr
0.5000 0.5000 0.2500 Cr
```

2.
Entry from the Alexandria database: a relaxed U2SbC crystal (PBE).

Results
spin magnetization: 1.3 μB/f.u.
energy: -9.13 eV/atom
calculated density: 13.19 g/cm3
energy relative to the elements, uncorrected: -153 meV per atom

The structure in POSCAR format:
```
U2SbC
1.0
-0.6298 1.7198 2.6562
-3.0218 0.9327 0.6391
-2.5189 -6.3157 5.4514
U C Sb
2 1 1
Direct
0.0585 0.0585 0.8244 U
0.2744 0.2744 0.1767 U
0.6669 0.6669 0.9992 C
0.5001 0.5001 0.4997 Sb
```

3.
Entry from the Alexandria database: a relaxed SiMoPt2 crystal (PBE).

Results
spin magnetization: 0.0 μB/f.u.
energy: -7.29 eV/atom
calculated density: 14.16 g/cm3
energy relative to the elements, uncorrected: -202 meV per atom

The structure in POSCAR format:
```
SiMoPt2
1.0
-0.0041 0.5006 -2.7279
-1.1734 -4.4186 -0.8090
-5.3457 -1.9005 -0.3407
Pt Mo Si
2 1 1
Direct
0.0000 0.0000 0.0000 Pt
0.5000 0.5000 0.0000 Pt
0.0000 0.0000 0.5000 Mo
0.5000 0.5000 0.5000 Si
```

4.
Entry from the Alexandria database: a relaxed NbSbPd6 crystal (PBE).

Results
spin magnetization: 0.0 μB/f.u.
energy above the most stable polymorph in this dataset: 0 meV/atom
energy: -6.05 eV/atom
calculated density: 10.90 g/cm3
energy relative to the elements, uncorrected: -382 meV per atom

The structure in POSCAR format:
```
NbSbPd6
1.0
-1.6529 -2.2390 2.8784
3.3795 0.2468 2.1327
-2.7747 6.7035 3.6210
Pd Sb Nb
6 1 1
Direct
0.0000 0.5000 0.7371 Pd
0.5000 0.0000 0.7371 Pd
0.0000 0.5000 0.2629 Pd
0.5000 0.0000 0.2629 Pd
0.5000 0.5000 0.5000 Pd
0.5000 0.5000 0.0000 Pd
0.0000 0.0000 0.0000 Sb
0.0000 0.0000 0.5000 Nb
```

5.
Entry from the Alexandria database: a relaxed SbOs crystal (PBE).

Results
spin magnetization: 0.0 μB/f.u.
energy: -6.77 eV/atom
calculated density: 14.28 g/cm3
energy relative to the elements, uncorrected: 906 meV per atom

The structure in POSCAR format:
```
SbOs
1.0
-0.6541 -4.6378 -2.0647
4.0345 -1.1819 -2.9199
-0.3647 1.6872 4.8187
Sb Os
2 2
Direct
0.5000 0.5000 0.0000 Sb
0.7500 0.2500 0.5000 Sb
0.0000 0.0000 0.0000 Os
0.2500 0.7500 0.5000 Os
```

6.
Entry from the Alexandria database: a relaxed Ac3Be2As4Se2 crystal (PBE).

Results
spin magnetization: 0.0 μB/f.u.
energy: -5.16 eV/atom
calculated density: 7.01 g/cm3
energy relative to the elements, uncorrected: -1036 meV per atom

The structure in POSCAR format:
```
Ac3Be2As4Se2
1.0
4.5559 0.0000 0.0000
0.0000 4.5559 0.0000
-2.2780 -2.2780 13.2065
Be Se As Ac
2 2 4 3
Direct
0.3814 0.3814 0.7628 Be
0.6186 0.6186 0.2372 Be
0.2958 0.2958 0.5917 Se
0.7042 0.7042 0.4083 Se
0.5862 0.0862 0.1723 As
0.0862 0.5861 0.1723 As
0.4138 0.9138 0.8277 As
0.9138 0.4138 0.8277 As
0.1717 0.1717 0.3434 Ac
0.0000 0.0000 0.0000 Ac
0.8283 0.8283 0.6566 Ac
```

7.
Entry from the Alexandria database: a relaxed Nb2TlPt crystal (PBE).

Results
energy of formation: 0.206 eV per atom
spin magnetization: 0.0 μB/f.u.
energy above the most stable polymorph in this dataset: 0 meV/atom
energy: -6.93 eV/atom
calculated density: 12.96 g/cm3

The structure in POSCAR format:
```
Nb2TlPt
1.0
2.5515 -3.9771 0.2797
-1.5566 -3.9611 -2.0717
2.1934 -1.6799 -3.8435
Nb Tl Pt
2 1 1
Direct
0.7500 0.7500 0.7500 Nb
0.2500 0.2500 0.2500 Nb
0.5000 0.5000 0.5000 Tl
0.0000 0.0000 0.0000 Pt
```

8.
Entry from the Alexandria database: a relaxed Sc3TlBr crystal (PBE).

Results
spin magnetization: 2.6 μB/f.u.
energy above the most stable polymorph in this dataset: 478 meV/atom
energy: -4.26 eV/atom
calculated density: 4.23 g/cm3
energy relative to the elements, uncorrected: 345 meV per atom

The structure in POSCAR format:
```
Sc3TlBr
1.0
5.4779 0.0000 0.0000
0.0000 5.4779 0.0000
0.0000 0.0000 5.4779
Sc Tl Br
3 1 1
Direct
0.5000 0.0000 0.0000 Sc
0.0000 0.0000 0.5000 Sc
0.0000 0.5000 0.0000 Sc
0.0000 0.0000 0.0000 Tl
0.5000 0.5000 0.5000 Br
```

9.
Entry from the Alexandria database: a relaxed ZrSiAu2 crystal (PBE).

Results
spin magnetization: 0.0 μB/f.u.
energy: -5.49 eV/atom
calculated density: 11.68 g/cm3
energy relative to the elements, uncorrected: -361 meV per atom

The structure in POSCAR format:
```
ZrSiAu2
1.0
-2.8768 1.2415 -4.4820
-5.1183 0.8447 -1.7307
-1.0533 4.2123 -0.2507
Au Zr Si
2 1 1
Direct
0.4662 0.4662 0.5337 Au
0.0338 0.0338 0.9663 Au
0.2500 0.2500 0.2500 Zr
0.7500 0.7500 0.7500 Si
```

10.
Entry from the Alexandria database: a relaxed Tm2TlCd crystal (PBE).

Results
energy of formation: -0.305 eV per atom
spin magnetization: 0.0 μB/f.u.
energy: -3.36 eV/atom
calculated density: 10.54 g/cm3

The structure in POSCAR format:
```
Tm2TlCd
1.0
-1.1566 -5.1214 -0.3871
3.8386 -3.5121 -0.8045
1.3883 -3.3106 3.8509
Tl Cd Tm
1 1 2
Direct
0.7500 0.7500 0.7500 Tl
0.2500 0.2500 0.2500 Cd
0.5000 0.5000 0.5000 Tm
0.9999 0.0000 0.0000 Tm
```

11.
Entry from the Alexandria database: a relaxed Mg2ZrHg crystal (PBE).

Results
energy of formation: -0.100 eV per atom
spin magnetization: 0.0 μB/f.u.
energy: -3.11 eV/atom
calculated density: 6.49 g/cm3

The structure in POSCAR format:
```
Mg2ZrHg
1.0
-1.5425 1.3743 -2.5390
-0.8085 -2.9691 -1.1159
-6.8810 0.2514 4.3164
Mg Hg Zr
2 1 1
Direct
0.5000 0.5000 0.2467 Mg
0.0000 0.0000 0.9867 Mg
0.5000 0.5000 0.7593 Hg
0.0000 0.0000 0.5073 Zr
```

12.
Entry from the Alexandria database: a relaxed BaY2Ta crystal (PBE).

Results
energy of formation: 0.737 eV per atom
spin magnetization: 0.0 μB/f.u.
energy above the most stable polymorph in this dataset: 357 meV/atom
energy: -5.94 eV/atom
calculated density: 6.87 g/cm3

The structure in POSCAR format:
```
BaY2Ta
1.0
-4.4256 0.5362 2.3346
2.0275 -1.7701 4.2499
1.1997 4.4052 1.2624
Y Ba Ta
2 1 1
Direct
0.5000 0.5000 0.0000 Y
0.0000 0.0000 0.0000 Y
0.5000 0.0000 0.5000 Ba
0.0000 0.5000 0.5000 Ta
```

13.
Entry from the Alexandria database: a relaxed Li2CrCu crystal (PBE).

Results
energy of formation: 0.264 eV per atom
spin magnetization: 0.0 μB/f.u.
energy above the most stable polymorph in this dataset: 0 meV/atom
energy: -4.12 eV/atom
calculated density: 4.28 g/cm3

The structure in POSCAR format:
```
Li2CrCu
1.0
-1.8977 -0.9241 -1.2096
1.8696 -1.5566 -0.0032
-3.0863 -3.7225 7.6860
Cr Li Cu
1 2 1
Direct
0.5000 0.5000 0.2500 Cr
0.0000 0.0000 0.9942 Li
0.0000 0.0000 0.5058 Li
0.5000 0.5000 0.7500 Cu
```

14.
Entry from the Alexandria database: a relaxed TaAg3I crystal (PBE).

Results
spin magnetization: 3.5 μB/f.u.
energy above the most stable polymorph in this dataset: 396 meV/atom
energy: -2.64 eV/atom
calculated density: 6.93 g/cm3
energy relative to the elements, uncorrected: 1748 meV per atom

The structure in POSCAR format:
```
TaAg3I
1.0
5.3276 0.0000 0.0000
0.0000 5.3276 0.0000
0.0000 0.0000 5.3276
I Ta Ag
1 1 3
Direct
0.0000 0.0000 0.0000 I
0.5000 0.5000 0.5000 Ta
0.5000 0.0000 0.0000 Ag
0.0000 0.0000 0.5000 Ag
0.0000 0.5000 0.0000 Ag
```